# 1
This record from Alexandria describes KFe3Br after structural relaxation. The functional is PBE. Values from VASP.

Calculated values
Polymorph energy (0 for the lowest one) (meV per atom): 1139.0
Space-group type: Pm-3m, No. 221
Formation energy (no corrections) (eV/atom): 2.387

Cell and atoms, written as Quantum ESPRESSO input:
```
&SYSTEM
  ibrav = 0, nat = 5, ntyp = 3
/
ATOMIC_SPECIES
K 39.10 K.upf
Fe 55.84 Fe.upf
Br 79.90 Br.upf
CELL_PARAMETERS angstrom
4.9962 0.0000 0.0000
0.0000 4.9962 0.0000
0.0000 0.0000 4.9962
ATOMIC_POSITIONS crystal
K 0.0000 0.0000 0.0000
Fe 0.0000 0.0000 0.5000
Fe 0.0000 0.5000 0.0000
Fe 0.5000 0.0000 0.0000
Br 0.5000 0.5000 0.5000
```

***

# 2
This record from Alexandria describes K3FeBr after structural relaxation. The functional is PBE. Values from VASP.

Calculated values
Polymorph energy (0 for the lowest one) (meV per atom): 0.0
Space-group type: Pm-3m, No. 221
Formation energy (no corrections) (eV/atom): 0.066

Cell and atoms, written as Quantum ESPRESSO input:
```
&SYSTEM
  ibrav = 0, nat = 5, ntyp = 3
/
ATOMIC_SPECIES
K 39.10 K.upf
Fe 55.84 Fe.upf
Br 79.90 Br.upf
CELL_PARAMETERS angstrom
6.2887 0.0000 0.0000
0.0000 6.2887 0.0000
0.0000 0.0000 6.2887
ATOMIC_POSITIONS crystal
K 0.0000 0.0000 0.5000
K 0.0000 0.5000 0.0000
K 0.5000 0.0000 0.0000
Fe 0.5000 0.5000 0.5000
Br 0.0000 0.0000 0.0000
```

***

# 3
This record from Alexandria describes KFe2Br after structural relaxation. The functional is PBE. Values from VASP.

Calculated values
Polymorph energy (0 for the lowest one) (meV per atom): 741.9
Space-group type: R-3m, No. 166
Formation energy (no corrections) (eV/atom): 0.946

Cell and atoms, written as Quantum ESPRESSO input:
```
&SYSTEM
  ibrav = 0, nat = 4, ntyp = 3
/
ATOMIC_SPECIES
K 39.10 K.upf
Fe 55.84 Fe.upf
Br 79.90 Br.upf
CELL_PARAMETERS angstrom
1.5939 0.9202 9.7740
-1.5939 0.9202 9.7740
0.0000 -1.8405 9.7740
ATOMIC_POSITIONS crystal
K 0.0000 0.0000 0.0000
Fe 0.2333 0.2333 0.2333
Fe 0.7667 0.7667 0.7667
Br 0.5000 0.5000 0.5000
```

***

| no. | magnetization (μB/cell) | Fermi-level density of states (states/eV per cell) |
| --- | --- | --- |
| 1 | 8.6 | 12.2 |
| 2 | 3.3 | 5.0 |
| 3 | 5.6 | 4.9 |